# LiAcDy2Au4 PBE relaxed
data_LiAcDy2Au4
_symmetry_space_group_name_H-M 'P 1'
_symmetry_Int_Tables_number 1
_cell_length_a 9.357
_cell_length_b 9.357
_cell_length_c 9.357
_cell_angle_alpha 31.09
_cell_angle_beta 31.09
_cell_angle_gamma 31.09
loop_
_symmetry_equiv_pos_as_xyz
'x,y,z'
loop_
_atom_site_label
_atom_site_fract_x
_atom_site_fract_y
_atom_site_fract_z
_atom_site_occupancy
Li1 0.000 0.000 0.000 1
Ac1 0.500 0.500 0.500 1
Dy1 0.268 0.268 0.268 1
Dy2 0.732 0.732 0.732 1
Au1 0.102 0.102 0.102 1
Au2 0.379 0.379 0.379 1
Au3 0.621 0.621 0.621 1
Au4 0.898 0.898 0.898 1
# Formation enthalpy at 0 K in eV/atom: -0.75
# Calculated volume in Å³/f.u.: 194
# Fermi-level density of states in states/eV/atom: 0.6509
# DFT total energy in eV for the cell shown: -34.3